*w*
## TlZnIn3 (PBE)

Data for a relaxed TlZnIn3 crystal.

The structure belongs to space group Pm-3m (No. 221); the cell edges are 5.303, 5.303 and 5.303 Å and the angles 90.00°, 90.00° and 90.00°. Symmetry generates all atoms from Tl at (0.000, 0.000, 0.000), Zn at (0.500, 0.500, 0.500) and In at (0.000, 0.500, 0.500).

For the size of the total moment, the calculation gives 0.00 μB per atom.

=====

*x*
## TlZnIn3 (PBE)

Data for a relaxed TlZnIn3 crystal.

The structure belongs to space group C2/m (No. 12); the cell edges are 18.216, 4.623 and 6.475 Å and the angles 90.00°, 102.37° and 90.00°. Symmetry generates all atoms from Tl at (0.079, 0.000, 0.361), Zn at (0.187, 0.500, 0.194), In at (0.047, 0.500, 0.825), In at (0.162, 0.000, 0.921) and In at (0.210, 0.500, 0.638).

For the size of the total moment, the calculation gives 0.00 μB per atom.

=====

Going by the energies, *x* is most stable and the next is 13.6 kJ/mol of atoms up.

=====

*w*
## ZrTl2In (PBE)

Data for a relaxed ZrTl2In crystal.

The structure belongs to space group I4/mmm (No. 139); the cell edges are 4.365, 4.365 and 10.168 Å and the angles 90.00°, 90.00° and 90.00°. Symmetry generates all atoms from Zr at (0.000, 0.000, 0.000), Tl at (0.000, 0.500, 0.250) and In at (0.000, 0.000, 0.500).

For the size of the total moment, the calculation gives 0.00 μB per atom.

=====

*x*
## ZrTl2In (PBE)

Data for a relaxed ZrTl2In crystal.

The structure belongs to space group P4mm (No. 99); the cell edges are 3.244, 3.244 and 9.935 Å and the angles 90.00°, 90.00° and 90.00°. Symmetry generates all atoms from Zr at (0.000, 0.000, 0.000), Tl at (0.000, 0.000, 0.488), Tl at (0.500, 0.500, 0.771) and In at (0.500, 0.500, 0.212).

For the size of the total moment, the calculation gives 0.00 μB per atom.

=====

*y*
## ZrTl2In (PBE)

Data for a relaxed ZrTl2In crystal.

The structure belongs to space group C2/m (No. 12); the cell edges are 11.964, 3.454 and 5.400 Å and the angles 90.00°, 115.77° and 90.00°. Symmetry generates all atoms from Zr at (0.000, 0.000, 0.000), Tl at (0.244, 0.500, 0.244) and In at (0.000, 0.500, 0.500).

For the size of the total moment, the calculation gives 0.00 μB per atom.

=====

*z*
## ZrTl2In (PBE)

Data for a relaxed ZrTl2In crystal.

The structure belongs to space group I-42d (No. 122); the cell edges are 8.205, 8.205 and 6.265 Å and the angles 90.00°, 90.00° and 90.00°. Symmetry generates all atoms from Zr at (0.000, 0.000, 0.000), Tl at (0.247, 0.250, 0.625) and In at (0.000, 0.000, 0.500).

For the size of the total moment, the calculation gives 0.00 μB per atom.

=====

Going by the energies, *x* is most stable and the next is 2.7 kJ/mol of atoms up.

=====

*w*
## Zr6TlIn3 (PBE)

Data for a relaxed Zr6TlIn3 crystal.

The structure belongs to space group Cmc2_1 (No. 36); the cell edges are 9.036, 15.578 and 6.895 Å and the angles 90.00°, 90.00° and 90.00°. Symmetry generates all atoms from Zr at (0.000, 0.037, 0.000), Zr at (0.000, 0.264, 0.679), Zr at (0.190, 0.423, 0.759), Zr at (0.196, 0.231, 0.008), Tl at (0.000, 0.158, 0.324), In at (0.000, 0.408, 0.375) and In at (0.200, 0.100, 0.681).

For the size of the total moment, the calculation gives 0.00 μB per atom.

=====

*x*
## Zr6TlIn3 (PBE)

Data for a relaxed Zr6TlIn3 crystal.

The structure belongs to space group P2_1/m (No. 11); the cell edges are 8.619, 5.114 and 10.768 Å and the angles 90.00°, 107.90° and 90.00°. Symmetry generates all atoms from Zr at (0.046, 0.250, 0.407), Zr at (0.143, 0.750, 0.186), Zr at (0.256, 0.250, 0.006), Zr at (0.346, 0.750, 0.794), Zr at (0.347, 0.250, 0.300), Zr at (0.428, 0.250, 0.597), Tl at (0.449, 0.750, 0.111), In at (0.040, 0.750, 0.887), In at (0.143, 0.250, 0.706) and In at (0.266, 0.750, 0.481).

For the size of the total moment, the calculation gives 0.00 μB per atom.

=====

Going by the energies, *x* is most stable and the next is 16.9 kJ/mol of atoms up.